# 1
The following is a meta-GGA SCAN calculation of MgZrAs2 at its PBEsol-relaxed geometry, from Alexandria.

a = 3.8316 Å, b = 3.8316 Å, c = 19.2111 Å
α = 90.00°, β = 90.00°, γ = 120.00°
Space group R-3m (No. 166, hexagonal axes)
Symmetry-distinct sites (fractional):
Mg (0.0000, 0.0000, 0.0000) x3
Zr (0.0000, 0.0000, 0.5000) x3
As (0.0000, 0.0000, 0.2490) x6

Properties
Energy relative to the elements: -922 meV per atom

# 2
The following is a meta-GGA SCAN calculation of MgZr2As at its PBEsol-relaxed geometry, from Alexandria.

a = 5.926 Å, b = 7.786 Å, c = 3.328 Å
α = 90.00°, β = 90.00°, γ = 90.00°
Space group Cmmm (No. 65)
Symmetry-distinct sites (fractional):
Mg (0.000, 0.000, 0.000) x2
Zr (0.250, 0.250, 0.500) x4
As (0.000, 0.500, 0.000) x2

Properties
Energy relative to the elements: -355 meV per atom

# 3
The following is a meta-GGA SCAN calculation of MgZrAs2 at its PBEsol-relaxed geometry, from Alexandria.

a = 3.580 Å, b = 3.687 Å, c = 12.378 Å
α = 90.00°, β = 90.00°, γ = 90.00°
Space group Imm2 (No. 44)
Symmetry-distinct sites (fractional):
Mg (0.000, 0.000, 0.000) x2
Zr (0.000, 0.500, 0.756) x2
As (0.000, 0.000, 0.418) x2
As (0.000, 0.500, 0.177) x2

Properties
Energy relative to the elements: -738 meV per atom

# 4
The following is a meta-GGA SCAN calculation of MgZrAs3 at its PBEsol-relaxed geometry, from Alexandria.

a = 5.106 Å, b = 5.106 Å, c = 5.106 Å
α = 90.00°, β = 90.00°, γ = 90.00°
Space group Pm-3m (No. 221)
Symmetry-distinct sites (fractional):
Mg (0.000, 0.000, 0.000) x1
Zr (0.500, 0.500, 0.500) x1
As (0.000, 0.500, 0.500) x3

Properties
Energy relative to the elements: 120 meV per atom

# 5
The following is a meta-GGA SCAN calculation of MnAs3 at its PBEsol-relaxed geometry, from Alexandria.

a = 5.109 Å, b = 5.109 Å, c = 5.109 Å
α = 90.00°, β = 90.00°, γ = 90.00°
Space group Pm-3n (No. 223)
Symmetry-distinct sites (fractional):
Mn (0.000, 0.000, 0.000) x2
As (0.000, 0.250, 0.500) x6

Properties
Energy relative to the elements: 240 meV per atom

# 6
The following is a meta-GGA SCAN calculation of Mn2As at its PBEsol-relaxed geometry, from Alexandria.

a = 3.9094 Å, b = 3.9094 Å, c = 2.6394 Å
α = 90.00°, β = 90.00°, γ = 120.00°
Space group P-3m1 (No. 164)
Symmetry-distinct sites (fractional):
Mn (0.3333, 0.6667, 0.2398) x2
As (0.0000, 0.0000, 0.5000) x1

Properties
Energy relative to the elements: 237 meV per atom

# 7
The following is a meta-GGA SCAN calculation of MnAs2 at its PBEsol-relaxed geometry, from Alexandria.

a = 2.883 Å, b = 2.883 Å, c = 22.387 Å
α = 90.00°, β = 90.00°, γ = 90.00°
Space group I4_1/amd (No. 141, origin choice 2)
Symmetry-distinct sites (fractional):
Mn (0.000, 0.250, 0.375) x4
As (0.000, 0.250, 0.811) x8

Properties
Energy relative to the elements: 6 meV per atom

# 8
The following is a meta-GGA SCAN calculation of Mn5As4 at its PBEsol-relaxed geometry, from Alexandria.

a = 3.539 Å, b = 12.442 Å, c = 11.539 Å
α = 90.00°, β = 90.00°, γ = 90.00°
Space group Cmc2_1 (No. 36)
Symmetry-distinct sites (fractional):
Mn (0.000, 0.017, 0.000) x4
Mn (0.000, 0.171, 0.594) x4
Mn (0.000, 0.202, 0.891) x4
Mn (0.000, 0.357, 0.734) x4
Mn (0.000, 0.453, 0.339) x4
As (0.000, 0.002, 0.211) x4
As (0.000, 0.279, 0.242) x4
As (0.000, 0.353, 0.523) x4
As (0.000, 0.386, 0.952) x4

Properties
Energy relative to the elements: -392 meV per atom

> The lowest energy relative to the elements belongs to which entry?

number 1